# 1
Below is a relaxed structure of DyP5O14, with properties calculated at the GGA-PBE level.

Cell lengths 9.2053, 9.2053, 12.6123 Å; angles 91.14, 91.14, 89.57 degrees
Element x y z (fractional)
Dy  0.0209  0.9791  0.7500
Dy  0.4658  0.5342  0.7500
Dy  0.5342  0.4658  0.2500
Dy  0.9791  0.0209  0.2500
P  0.0223  0.6823  0.3925
P  0.0698  0.5751  0.7422
P  0.1166  0.1759  0.0018
P  0.1759  0.1166  0.5018
P  0.1834  0.4512  0.1099
P  0.3177  0.9777  0.1075
P  0.3275  0.6269  0.4660
P  0.3731  0.6725  0.0340
P  0.4249  0.9302  0.7578
P  0.4512  0.1834  0.6099
P  0.5488  0.8166  0.3901
P  0.5751  0.0698  0.2422
P  0.6269  0.3275  0.9660
P  0.6725  0.3731  0.5340
P  0.6823  0.0223  0.8925
P  0.8166  0.5488  0.8901
P  0.8241  0.8834  0.4982
P  0.8834  0.8241  0.9982
P  0.9302  0.4249  0.2578
P  0.9777  0.3177  0.6075
O  0.0019  0.4820  0.6404
O  0.0159  0.1412  0.0889
O  0.0311  0.4804  0.1614
O  0.0377  0.7815  0.3032
O  0.0399  0.7294  0.7175
O  0.0795  0.1456  0.8889
O  0.1066  0.2792  0.5302
O  0.1412  0.0159  0.5889
O  0.1456  0.0795  0.3889
O  0.1544  0.3486  0.0092
O  0.1573  0.6761  0.4721
O  0.2116  0.6019  0.0560
O  0.2184  0.5216  0.7687
O  0.2185  0.9623  0.1968
O  0.2706  0.9601  0.7825
O  0.2792  0.1066  0.0302
O  0.2994  0.3966  0.1813
O  0.3239  0.8427  0.0279
O  0.3486  0.1544  0.5092
O  0.3501  0.5344  0.3690
O  0.3702  0.5801  0.5739
O  0.3966  0.2994  0.6813
O  0.3981  0.7884  0.4440
O  0.4199  0.6298  0.9261
O  0.4656  0.6499  0.1310
O  0.4784  0.7816  0.7313
O  0.4804  0.0311  0.6614
O  0.4820  0.0019  0.1404
O  0.5180  0.9981  0.8596
O  0.5196  0.9689  0.3386
O  0.5216  0.2184  0.2687
O  0.5344  0.3501  0.8690
O  0.5801  0.3702  0.0739
O  0.6019  0.2116  0.5560
O  0.6034  0.7006  0.3187
O  0.6298  0.4199  0.4261
O  0.6499  0.4656  0.6310
O  0.6514  0.8456  0.4908
O  0.6761  0.1573  0.9721
O  0.7006  0.6034  0.8187
O  0.7208  0.8934  0.9698
O  0.7294  0.0399  0.2175
O  0.7815  0.0377  0.8032
O  0.7816  0.4784  0.2313
O  0.7884  0.3981  0.9440
O  0.8427  0.3239  0.5279
O  0.8456  0.6514  0.9908
O  0.8544  0.9205  0.6111
O  0.8588  0.9841  0.4111
O  0.8934  0.7208  0.4698
O  0.9205  0.8544  0.1111
O  0.9601  0.2706  0.2825
O  0.9623  0.2185  0.6968
O  0.9689  0.5196  0.8386
O  0.9841  0.8588  0.9111
O  0.9981  0.5180  0.3596

Output
Space group   C2/c
Energy relative to the elements, uncorrected   -2.343 eV/atom
Volume   13.353 A^3/atom
Offset from the most stable computed form   0 meV/atom



# 2
Below is a relaxed structure of DyPO4, with properties calculated at the GGA-PBE level.

Cell lengths 5.7824, 5.7824, 5.7824 Å; angles 105.93, 105.93, 116.82 degrees
Element x y z (fractional)
Dy  0.3750  0.6250  0.7500
Dy  0.6250  0.3750  0.2500
P  0.1250  0.8750  0.2500
P  0.8750  0.1250  0.7500
O  0.1392  0.7148  0.4244
O  0.2095  0.2852  0.9244
O  0.2852  0.2095  0.4244
O  0.2852  0.8608  0.0756
O  0.7148  0.1392  0.9244
O  0.7148  0.7905  0.5756
O  0.7905  0.7148  0.0756
O  0.8608  0.2852  0.5756

Output
Space group   I4_1/amd
Energy relative to the elements, uncorrected   -3.040 eV/atom
Volume   12.248 A^3/atom



# 3
Below is a relaxed structure of DyP2O2, with properties calculated at the GGA-PBE level.

Cell lengths 10.2425, 10.2425, 10.2425 Å; angles 140.65, 140.65, 56.87 degrees
Element x y z (fractional)
Dy  0.0000  0.0000  0.0000
Dy  0.0000  0.0000  0.5000
Dy  0.0000  0.5000  0.0000
Dy  0.5000  0.0000  0.5000
P  0.2036  0.2921  0.5885
P  0.2036  0.6151  0.9115
P  0.2921  0.2036  0.0885
P  0.3849  0.7964  0.5885
P  0.6151  0.2036  0.4115
P  0.7079  0.7964  0.9115
P  0.7964  0.3849  0.0885
P  0.7964  0.7079  0.4115
O  0.1167  0.1707  0.5540
O  0.1167  0.5628  0.9460
O  0.1707  0.1167  0.0540
O  0.4372  0.8833  0.5540
O  0.5628  0.1167  0.4460
O  0.8293  0.8833  0.9460
O  0.8833  0.4372  0.0540
O  0.8833  0.8293  0.4460

Output
Space group   I4_1/amd
Energy relative to the elements, uncorrected   -1.372 eV/atom
Volume   21.424 A^3/atom
Offset from the most stable computed form   0 meV/atom



# 4
Below is a relaxed structure of DyP3O9, with properties calculated at the GGA-PBE level.

Cell lengths 7.0905, 9.7991, 11.1558 Å; angles 90.00, 92.12, 90.00 degrees
Element x y z (fractional)
Dy  0.1794  0.2500  0.4619
Dy  0.3090  0.2500  0.9797
Dy  0.6910  0.7500  0.0203
Dy  0.8206  0.7500  0.5381
P  0.1811  0.7500  0.1041
P  0.2692  0.0109  0.2310
P  0.2692  0.4891  0.2310
P  0.3094  0.7500  0.6257
P  0.3245  0.0334  0.7159
P  0.3245  0.4666  0.7159
P  0.6755  0.5334  0.2841
P  0.6755  0.9666  0.2841
P  0.6906  0.2500  0.3743
P  0.7308  0.5109  0.7690
P  0.7308  0.9891  0.7690
P  0.8189  0.2500  0.8959
O  0.0123  0.7500  0.0192
O  0.1397  0.7500  0.5410
O  0.1550  0.0865  0.3197
O  0.1550  0.4135  0.3197
O  0.1552  0.6251  0.1967
O  0.1552  0.8749  0.1967
O  0.2296  0.0923  0.6053
O  0.2296  0.4077  0.6053
O  0.2770  0.0896  0.8358
O  0.2770  0.4104  0.8358
O  0.2915  0.6280  0.7221
O  0.2915  0.8720  0.7221
O  0.3263  0.0853  0.1202
O  0.3263  0.4147  0.1202
O  0.3759  0.7500  0.0559
O  0.4522  0.5493  0.3031
O  0.4522  0.9507  0.3031
O  0.4977  0.2500  0.4252
O  0.5023  0.7500  0.5748
O  0.5478  0.0493  0.6969
O  0.5478  0.4507  0.6969
O  0.6241  0.2500  0.9441
O  0.6737  0.5853  0.8798
O  0.6737  0.9147  0.8798
O  0.7085  0.1280  0.2779
O  0.7085  0.3720  0.2779
O  0.7230  0.5896  0.1642
O  0.7230  0.9104  0.1642
O  0.7704  0.5923  0.3947
O  0.7704  0.9077  0.3947
O  0.8448  0.1251  0.8033
O  0.8448  0.3749  0.8033
O  0.8450  0.5865  0.6803
O  0.8450  0.9135  0.6803
O  0.8603  0.2500  0.4590
O  0.9877  0.2500  0.9808

Output
Space group   P2_1/m
Energy relative to the elements, uncorrected   -2.538 eV/atom
Volume   14.896 A^3/atom
Offset from the most stable computed form   0 meV/atom



# 5
Below is a relaxed structure of Dy2PO, with properties calculated at the GGA-PBE level.

Cell lengths 6.3819, 6.3819, 6.3819 Å; angles 34.05, 34.05, 34.05 degrees
Element x y z (fractional)
Dy  0.2417  0.2417  0.2417
Dy  0.7583  0.7583  0.7583
P  0.0000  0.0000  0.0000
O  0.5000  0.5000  0.5000

Output
Space group   R-3m
Energy relative to the elements, uncorrected   -2.134 eV/atom
Volume   18.163 A^3/atom
Offset from the most stable computed form   0 meV/atom



# 6
Below is a relaxed structure of DyPO4, with properties calculated at the GGA-PBE level.

Cell lengths 5.6879, 5.7007, 6.4603 Å; angles 90.00, 90.00, 90.00 degrees
Element x y z (fractional)
Dy  0.0000  0.0000  0.0000
Dy  0.5000  0.0000  0.5000
P  0.0000  0.0000  0.5000
P  0.0000  0.5000  0.0000
O  0.1647  0.3291  0.1239
O  0.1647  0.6709  0.8761
O  0.1760  0.1339  0.6446
O  0.1760  0.8661  0.3554
O  0.8240  0.1339  0.3554
O  0.8240  0.8661  0.6446
O  0.8353  0.3291  0.8761
O  0.8353  0.6709  0.1239

Output
Space group   P222
Energy relative to the elements, uncorrected   -2.577 eV/atom
Volume   17.456 A^3/atom